Density functional theory data (PBE) for a relaxed LaTiAsSe2 crystal.

Geometry as extended XYZ:
```
5
Lattice="-3.6155 0.1532 -3.3597 -0.4724 -4.9071 0.2846 -3.3543 0.5337 3.6340" Properties=species:S:1:pos:R:3 pbc="T T T"
As -1.6772 0.2668 1.8170
Ti 0.0000 0.0000 0.0000
Se -0.2362 -2.4535 0.1423
Se -1.8078 0.0766 -1.6799
La -3.7211 -2.1101 0.2794
```

Calculated values
Crystal system: tetragonal
Relative energy among the computed polymorphs in eV/atom: 0.000